No. 1
Material: Na4Tm3TiTe8
Method: DFT, PBE
State: relaxed

a = 9.0586 Å, b = 9.0586 Å, c = 9.0586 Å
α = 56.85°, β = 56.85°, γ = 56.85°
Closest atoms and distances in Å follow each position.
Sites, in units of the cell vectors:
Na 0.0000 0.0000 0.0000  6 Te 3.34
Na 0.0000 0.5000 0.5000  6 Te 3.21-3.22
Na 0.5000 0.0000 0.5000  6 Te 3.21-3.22
Na 0.5000 0.5000 0.0000  6 Te 3.21-3.22
Tm 0.0000 0.0000 0.5000  6 Te 3.04-3.05
Tm 0.0000 0.5000 0.0000  6 Te 3.04-3.05
Tm 0.5000 0.0000 0.0000  6 Te 3.04-3.05
Ti 0.5000 0.5000 0.5000  6 Te 2.92
Te 0.2439 0.2439 0.2439  3 Tm 3.04, 3 Na 3.21
Te 0.2553 0.7335 0.7335  1 Ti 2.92, 2 Tm 3.05, 2 Na 3.22
Te 0.2665 0.2665 0.7447  1 Ti 2.92, 2 Tm 3.05, 2 Na 3.22
Te 0.2665 0.7447 0.2665  1 Ti 2.92, 2 Tm 3.05, 2 Na 3.22
Te 0.7335 0.2553 0.7335  1 Ti 2.92, 2 Tm 3.05, 2 Na 3.22
Te 0.7335 0.7335 0.2553  1 Ti 2.92, 2 Tm 3.05, 2 Na 3.22
Te 0.7447 0.2665 0.2665  1 Ti 2.92, 2 Tm 3.05, 2 Na 3.22
Te 0.7561 0.7561 0.7561  3 Tm 3.04, 3 Na 3.21

Total magnetic moment (μB/f.u.): 1.00
Calculated density (kg/m³): 5681
Space group: No. 166
Energy relative to the elements, uncorrected (meV per atom): -1143.3

No. 2
Material: Na2TmTiTe4
Method: DFT, PBE
State: relaxed

a = 7.3455 Å, b = 4.2125 Å, c = 7.9747 Å
α = 90.00°, β = 107.77°, γ = 90.00°
Closest atoms and distances in Å follow each position.
Sites, in units of the cell vectors:
Na 0.0000 0.0000 0.0000  6 Te 3.29-3.30
Na 0.5000 0.5000 0.0000  6 Te 3.17-3.18
Tm 0.0000 0.5000 0.5000  6 Te 3.02-3.03
Ti 0.5000 0.0000 0.5000  6 Te 2.89-2.90
Te 0.2562 0.0000 0.7255  1 Ti 2.90, 2 Tm 3.02, 2 Na 3.17
Te 0.2760 0.5000 0.2843  2 Ti 2.89, 1 Tm 3.03, 1 Na 3.18
Te 0.7240 0.5000 0.7157  2 Ti 2.89, 1 Tm 3.03, 1 Na 3.18
Te 0.7438 0.0000 0.2745  1 Ti 2.90, 2 Tm 3.02, 2 Na 3.17

Total magnetic moment (μB/f.u.): 1.00
Calculated density (kg/m³): 5464
Space group: No. 10
Energy relative to the elements, uncorrected (meV per atom): -1007.4